1.
# TmIn2AgBr6 (PBE-GGA, optimized geometry)
# * formation energy without anion corrections: -1067 meV per atom
# * final energy: -3.351 eV per atom
# * total magnetization: 0.00 μB per formula unit
data_TmIn2AgBr6
_cell_length_a 7.551
_cell_length_b 8.027
_cell_length_c 13.075
_cell_angle_alpha 90.00
_cell_angle_beta 124.19
_cell_angle_gamma 90.00
_symmetry_space_group_name_H-M 'P 1 21/c 1'
_symmetry_Int_Tables_number 14
loop_
_symmetry_equiv_pos_as_xyz
'x,y,z'
'-x,-y,-z'
'-x,y+1/2,-z+1/2'
'x,-y+1/2,z+1/2'
loop_
_atom_site_label
_atom_site_fract_x
_atom_site_fract_y
_atom_site_fract_z
Tm1 0.000 0.000 0.000
In1 0.284 0.084 0.757
Ag1 0.500 0.000 0.500
Br1 0.144 0.022 0.247
Br2 0.233 0.709 0.049
Br3 0.347 0.187 0.046


2.
# KCd2Ga (PBE-GGA, optimized geometry)
# * final energy: -1.411 eV per atom
# * total magnetization: 0.00 μB per formula unit
# * formation energy from the elements: 0.0780 eV/atom
data_KCd2Ga
_cell_length_a 5.826
_cell_length_b 5.826
_cell_length_c 17.802
_cell_angle_alpha 90.00
_cell_angle_beta 90.00
_cell_angle_gamma 90.00
_symmetry_space_group_name_H-M 'I -4 2 d'
_symmetry_Int_Tables_number 122
_symmetry_space_group_name_Hall 'I -4 2bw'
loop_
_atom_site_label
_atom_site_fract_x
_atom_site_fract_y
_atom_site_fract_z
K1 0.000 0.000 0.000
Cd1 0.008 0.250 0.625
Ga1 0.000 0.000 0.500